No. 1
Here is a geometry-optimized Pm6Ge3AsSe2 structure from Alexandria via LeMat-Bulk. Energies are from PBE.

Structure (POSCAR):
```
Pm6Ge3AsSe2
1.0
4.205 0.000 0.000
0.000 8.571 0.212
-2.103 -2.568 8.947
Ge As Pm Se
3 1 6 2
Cartesian
2.103 -0.277 5.983 Ge
0.000 6.280 3.176 Ge
2.103 4.285 0.106 Ge
2.103 0.000 0.000 As
0.000 1.819 6.075 Pm
2.103 -0.446 8.987 Pm
2.103 -0.172 2.995 Pm
0.000 6.175 6.164 Pm
2.103 4.184 3.084 Pm
0.000 6.449 0.172 Pm
0.000 2.008 3.061 Se
2.103 3.995 6.099 Se
```

Electronic total energy in eV per atom: -5.803
V in Å³ per atom: 27.06

=====

No. 2
Here is a geometry-optimized Pm8GeAs3Se4 structure from Alexandria via LeMat-Bulk. Energies are from PBE.

Structure (POSCAR):
```
Pm8GeAs3Se4
1.0
8.455 0.000 0.000
0.000 8.473 0.006
-4.228 -4.223 5.982
Pm As Ge Se
8 3 1 4
Cartesian
4.228 4.181 2.952 Pm
0.000 0.068 3.036 Pm
2.101 2.183 0.038 Pm
6.354 2.183 0.038 Pm
4.228 0.059 3.047 Pm
2.127 2.066 5.950 Pm
0.000 4.191 2.941 Pm
-2.127 2.066 5.950 Pm
-2.114 2.125 2.994 As
2.114 2.125 2.994 As
4.228 4.236 0.003 As
0.000 4.236 0.003 Ge
4.228 0.000 0.000 Se
2.114 -2.112 2.991 Se
-2.114 -2.112 2.991 Se
0.000 0.000 0.000 Se
```

Electronic total energy in eV per atom: -6.076
V in Å³ per atom: 26.80

=====

No. 3
Here is a geometry-optimized Pm6GeAs3Se2 structure from Alexandria via LeMat-Bulk. Energies are from PBE.

Structure (POSCAR):
```
Pm6GeAs3Se2
1.0
4.231 0.000 0.000
0.000 8.482 0.311
-2.115 -2.436 8.898
Pm As Ge Se
6 3 1 2
Cartesian
0.000 6.201 6.242 Pm
2.115 4.205 3.097 Pm
0.000 6.377 0.253 Pm
2.115 -0.154 2.967 Pm
0.000 1.842 6.112 Pm
2.115 -0.330 8.956 Pm
0.000 6.243 3.253 As
2.115 -0.197 5.956 As
2.115 4.241 0.156 As
2.115 0.000 0.000 Ge
0.000 2.036 3.094 Se
2.115 4.011 6.115 Se
```

Electronic total energy in eV per atom: -6.076
V in Å³ per atom: 26.88

=====

No. 4
Here is a geometry-optimized Pm4GeTe2As structure from Alexandria via LeMat-Bulk. Energies are from PBE.

Structure (POSCAR):
```
Pm4GeTe2As
1.0
-2.365 -3.566 0.705
5.298 -2.594 4.648
-5.046 4.142 4.025
Pm Te As Ge
4 2 1 1
Cartesian
2.788 -0.991 4.335 Pm
-2.536 2.539 4.338 Pm
-1.017 -1.493 2.375 Pm
-1.096 -0.526 7.003 Pm
-3.705 0.288 2.365 Te
0.126 0.774 4.336 Te
0.000 0.000 0.000 As
1.466 -3.080 2.677 Ge
```

Electronic total energy in eV per atom: -5.719
V in Å³ per atom: 29.52

=====

No. 5
Here is a geometry-optimized Pm6GeTe3As2 structure from Alexandria via LeMat-Bulk. Energies are from PBE.

Structure (POSCAR):
```
Pm6GeTe3As2
1.0
-1.876 -3.248 -2.157
-4.496 -2.220 7.251
-4.690 7.903 -3.479
Te Pm Ge As
3 6 1 2
Cartesian
-3.186 -2.734 2.547 Te
-5.431 2.179 -2.897 Te
-5.631 0.256 4.511 Te
-3.167 0.159 -1.825 Pm
-5.628 3.149 0.154 Pm
-9.955 2.887 -0.028 Pm
-5.434 -0.713 1.460 Pm
-1.108 -0.451 1.642 Pm
-7.896 2.276 3.439 Pm
-0.938 -1.624 -1.079 Ge
-3.381 1.356 0.899 As
-7.681 1.080 0.715 As
```

Electronic total energy in eV per atom: -5.766
V in Å³ per atom: 29.45

=====

No. 6
Here is a geometry-optimized Pm8GeTe4As3 structure from Alexandria via LeMat-Bulk. Energies are from PBE.

Structure (POSCAR):
```
Pm8GeTe4As3
1.0
8.645 0.000 0.000
0.000 8.817 0.116
-4.322 -4.318 6.116
Te Pm Ge As
4 8 1 3
Cartesian
4.322 0.000 0.000 Te
0.000 0.000 0.000 Te
2.161 -2.159 3.058 Te
-2.161 -2.159 3.058 Te
2.148 2.377 0.141 Pm
0.000 0.220 3.210 Pm
4.322 4.279 3.021 Pm
6.496 2.377 0.141 Pm
4.322 0.205 3.218 Pm
2.174 2.122 6.090 Pm
-2.174 2.122 6.090 Pm
0.000 4.294 3.014 Pm
0.000 4.408 0.058 Ge
2.161 2.249 3.116 As
-2.161 2.249 3.116 As
4.322 4.408 0.058 As
```

Electronic total energy in eV per atom: -5.795
V in Å³ per atom: 29.40

=====

No. 7
Here is a geometry-optimized Pm6Ge2TeAs3 structure from Alexandria via LeMat-Bulk. Energies are from PBE.

Structure (POSCAR):
```
Pm6Ge2TeAs3
1.0
-1.056 3.985 -0.995
-7.951 -1.314 3.171
5.366 1.133 7.883
As Pm Ge Te
3 6 2 1
Cartesian
-4.503 1.335 1.088 As
1.398 3.874 4.994 As
-5.039 -0.070 5.064 As
-0.060 1.541 6.235 Pm
-4.105 0.847 7.746 Pm
-3.581 2.263 3.823 Pm
0.464 2.957 2.312 Pm
-2.110 -0.344 0.859 Pm
-1.531 4.148 9.199 Pm
-2.602 3.200 6.535 Ge
-1.039 0.604 3.523 Ge
-0.528 1.993 -0.498 Te
```

Electronic total energy in eV per atom: -5.836
V in Å³ per atom: 27.86

=====

No. 8
Here is a geometry-optimized Pm8Ge3Te4As structure from Alexandria via LeMat-Bulk. Energies are from PBE.

Structure (POSCAR):
```
Pm8Ge3Te4As
1.0
-1.976 -8.438 -0.571
6.264 -1.869 5.938
-6.172 5.781 1.979
Pm Te As Ge
8 4 1 3
Cartesian
1.103 -2.610 1.536 Pm
0.093 -4.819 4.836 Pm
-2.986 -1.915 5.810 Pm
-1.976 0.293 2.510 Pm
-2.004 2.278 6.094 Pm
0.121 -6.804 1.252 Pm
1.063 -0.595 5.111 Pm
-2.947 -3.931 2.235 Pm
-4.074 -1.328 0.704 Te
0.000 0.000 0.000 Te
-3.086 2.890 0.990 Te
-0.988 -4.219 -0.286 Te
3.132 -0.934 2.969 As
2.144 -5.153 2.683 Ge
-0.942 -2.263 3.673 Ge
0.046 1.956 3.959 Ge
```

Electronic total energy in eV per atom: -5.632
V in Å³ per atom: 29.68

=====

No. 9
Here is a geometry-optimized PmThGeAs structure from Alexandria via LeMat-Bulk. Energies are from PBE.

Structure (POSCAR):
```
PmThGeAs
1.0
-1.808 -0.968 -3.751
-0.255 -4.076 -1.261
-6.878 -2.263 1.463
Th Ge Pm As
1 1 1 1
Cartesian
-3.113 -5.143 -4.480 Th
-3.263 -1.923 -0.367 Ge
-5.501 -3.750 -1.253 Pm
-7.749 -5.578 -2.133 As
```

Formation enthalpy at 0 K in eV/atom: -1.134
Electronic total energy in eV per atom: -6.494
V in Å³ per atom: 27.54

=====

No. 10
Here is a geometry-optimized Pr2GeAs structure from Alexandria via LeMat-Bulk. Energies are from PBE.

Structure (POSCAR):
```
Pr2GeAs
1.0
-2.294 -1.506 -3.128
1.573 -2.916 -2.518
-2.998 -7.007 2.804
As Ge Pr
1 1 2
Cartesian
-3.468 -9.933 -0.978 As
-1.871 -5.737 -1.402 Ge
-2.359 -5.725 1.718 Pr
-0.879 -2.755 -0.797 Pr
```

Formation enthalpy at 0 K in eV/atom: -0.928
ΔE to the lowest computed polymorph in eV/atom: 0.233
Electronic total energy in eV per atom: -5.634
V in Å³ per atom: 29.08

=====

No. 11
Here is a geometry-optimized Pr3GeAs structure from Alexandria via LeMat-Bulk. Energies are from PBE.

Structure (POSCAR):
```
Pr3GeAs
1.0
-0.758 0.633 -6.164
10.300 -1.923 -1.464
-6.700 -8.179 -0.016
Pr Ge As
12 4 4
Cartesian
-0.489 -8.524 -2.396 Pr
-2.289 -3.473 -1.656 Pr
-5.088 -7.356 -1.712 Pr
2.320 -7.259 -4.191 Pr
0.899 -2.524 -0.370 Pr
5.130 -5.996 -5.988 Pr
7.929 -2.113 -5.932 Pr
0.522 -2.210 -3.453 Pr
3.331 -0.945 -5.248 Pr
3.413 -4.228 -2.433 Pr
-0.571 -5.241 -5.211 Pr
1.942 -6.945 -7.274 Pr
5.238 -6.413 -2.884 Ge
-0.596 -8.108 -5.501 Ge
3.438 -1.361 -2.143 Ge
-2.396 -3.057 -4.761 Ge
-6.003 -7.237 -4.747 As
2.497 -4.109 -5.470 As
8.845 -2.232 -2.897 As
0.345 -5.360 -2.174 As
```

Formation enthalpy at 0 K in eV/atom: -0.769
Electronic total energy in eV per atom: -5.490
V in Å³ per atom: 30.70

=====

No. 12
Here is a geometry-optimized Pr2GeAs structure from Alexandria via LeMat-Bulk. Energies are from PBE.

Structure (POSCAR):
```
Pr2GeAs
1.0
4.183 0.000 0.000
0.000 4.349 -0.772
0.000 -0.095 12.096
Ge As Pr
2 2 4
Cartesian
3.137 2.335 0.517 Ge
1.046 1.919 10.806 Ge
3.137 3.472 6.922 As
1.046 0.782 4.402 As
3.137 2.952 3.994 Pr
1.046 0.272 1.533 Pr
3.137 3.982 9.790 Pr
1.046 1.302 7.329 Pr
```

Formation enthalpy at 0 K in eV/atom: -1.161
ΔE to the lowest computed polymorph in eV/atom: 0.000
Electronic total energy in eV per atom: -5.867
V in Å³ per atom: 27.47

=====

| no. | ρ (g/cm³) | spin magnetization (μB per atom) |
| --- | --- | --- |
| 1 | 6.8 | 0.0000 |
| 2 | 6.9 | 0.0000 |
| 3 | 6.8 | 0.0000 |
| 4 | 6.9 | 0.0000 |
| 5 | 6.9 | 0.0000 |
| 6 | 6.9 | 0.0000 |
| 7 | 6.8 | 0.0000 |
| 8 | 6.9 | 0.0000 |
| 9 | 7.9 | 0.0000 |
| 10 | 6.1 | 0.0000 |
| 11 | 6.2 | 0.0624 |
| 12 | 6.5 | 0.0000 |